a:
The following is a GGA-PBE calculation of SnBPCl2 after structural relaxation, from Alexandria via LeMat-Bulk.

## Properties
SG ... No. 123
Magnetic moment ... 0.9 Bohr magnetons per cell

a b c (Å): 5.226 5.226 5.245
angles (deg): 90.00 90.00 90.00
Fractional positions:
1 Sn 0.000 0.000 0.000
2 B 0.500 0.500 0.500
3 P 0.000 0.000 0.500
4 Cl 0.000 0.500 0.000
5 Cl 0.500 0.000 0.000

***

b:
The following is a GGA-PBE calculation of SnBPCl2 after structural relaxation, from Alexandria via LeMat-Bulk.

## Properties
SG ... No. 123
Magnetic moment ... 0.0 Bohr magnetons per cell

a b c (Å): 4.352 4.352 4.683
angles (deg): 90.00 90.00 90.00
Fractional positions:
1 Sn 0.000 0.000 0.000
2 B 0.500 0.500 0.500
3 P 0.500 0.500 0.000
4 Cl 0.000 0.500 0.500
5 Cl 0.500 0.000 0.500

***

Which one sits at the bottom of the stability order? a does.

***

a:
The following is a GGA-PBE calculation of TaBPCl2 after structural relaxation, from Alexandria via LeMat-Bulk.

## Properties
SG ... No. 123
Magnetic moment ... 0.0 Bohr magnetons per cell

a b c (Å): 4.800 4.800 4.938
angles (deg): 90.00 90.00 90.00
Fractional positions:
1 Ta 0.000 0.000 0.000
2 B 0.500 0.500 0.500
3 P 0.000 0.000 0.500
4 Cl 0.000 0.500 0.000
5 Cl 0.500 0.000 0.000

***

b:
The following is a GGA-PBE calculation of TaBPCl2 after structural relaxation, from Alexandria via LeMat-Bulk.

## Properties
SG ... No. 123
Magnetic moment ... 1.4 Bohr magnetons per cell

a b c (Å): 4.106 4.106 4.553
angles (deg): 90.00 90.00 90.00
Fractional positions:
1 Ta 0.000 0.000 0.000
2 B 0.500 0.500 0.500
3 P 0.500 0.500 0.000
4 Cl 0.000 0.500 0.500
5 Cl 0.500 0.000 0.500

***

Which one sits at the bottom of the stability order? b does.